Entry 1:
# CdIn4Pb5, relaxed, DFT PBE
# ΔE to the lowest computed polymorph = 0.000 eV per atom
# electronic total energy = -3.01 eV/atom
data_CdIn4Pb5
_cell_length_a 3.366
_cell_length_b 3.366
_cell_length_c 25.961
_cell_angle_alpha 90.00
_cell_angle_beta 90.00
_cell_angle_gamma 90.00
_space_group_name_H-M_alt 'P 4/m m m'
_space_group_IT_number 123
_space_group_name_Hall '-P 4 2'
loop_
_atom_site_label
_atom_site_type_symbol
_atom_site_fract_x
_atom_site_fract_y
_atom_site_fract_z
Cd1 Cd 0.000 0.000 0.000
In1 In 0.000 0.000 0.195
In2 In 0.000 0.000 0.398
Pb1 Pb 0.500 0.500 0.093
Pb2 Pb 0.500 0.500 0.296
Pb3 Pb 0.500 0.500 0.500

Entry 2:
# Cd3In4Pb2, relaxed, DFT PBE
# electronic total energy = -2.31 eV/atom
data_Cd3In4Pb2
_cell_length_a 3.3934
_cell_length_b 3.3934
_cell_length_c 24.6555
_cell_angle_alpha 90.00
_cell_angle_beta 90.00
_cell_angle_gamma 120.00
_space_group_name_H-M_alt 'P 3 m 1'
_space_group_IT_number 156
loop_
_space_group_symop_operation_xyz
'x,y,z'
'-y,x-y,z'
'-x+y,-x,z'
'-y,-x,z'
'-x+y,y,z'
'x,x-y,z'
loop_
_atom_site_label
_atom_site_type_symbol
_atom_site_fract_x
_atom_site_fract_y
_atom_site_fract_z
Cd1 Cd 0.0000 0.0000 0.0000
Cd2 Cd 0.0000 0.0000 0.3429
Cd3 Cd 0.6667 0.3333 0.6646
In1 In 0.0000 0.0000 0.5599
In2 In 0.0000 0.0000 0.7693
In3 In 0.6667 0.3333 0.2405
In4 In 0.6667 0.3333 0.4471
Pb1 Pb 0.6667 0.3333 0.1102
Pb2 Pb 0.6667 0.3333 0.8891